Record 1
Compound: MgUSnHg
Source: the Alexandria database
Functional: PBE-GGA
Structure: relaxed

Results
total energy = -17.0 eV per cell
ΔE_f = 0.0409 eV/atom
mass density = 9.9 g/cm³
total moment = 3.00 μB per cell

Cell: 5.175 5.175 5.175 Å, 60.00 60.00 60.00°
Atoms (fractional coordinates):
Mg1 0.000 0.000 0.000
U1 0.500 0.500 0.500
Hg1 0.750 0.750 0.750
Sn1 0.250 0.250 0.250

***

Record 2
Compound: Mg2SnHgW
Source: the Alexandria database
Functional: PBE-GGA
Structure: relaxed

Results
total energy = -13.7 eV per cell
ΔE_f = 1.3426 eV/atom
mass density = 7.1 g/cm³
total moment = 3.52 μB per cell

Cell: 4.903 5.390 4.903 Å, 90.00 90.00 90.00°
Atoms (fractional coordinates):
Mg1 0.000 0.000 0.500
Mg2 0.500 0.000 0.000
Hg1 0.000 0.000 0.000
W1 0.500 0.500 0.500
Sn1 0.000 0.500 0.000